[1]
Here is CdAgF5 after structural relaxation from Alexandria. Energies are from PBE.

POSCAR file:
```
CdAgF5
1.0
5.218 -0.376 -1.146
-1.175 5.111 -1.147
1.244 1.454 7.831
Cd Ag F
2 2 10
direct
0.500 0.000 0.000
0.500 0.000 0.500
0.903 0.598 0.250
0.097 0.402 0.750
0.611 0.650 0.110
0.214 0.594 0.400
0.406 0.091 0.250
0.850 0.890 0.389
0.150 0.110 0.611
0.906 0.287 0.101
0.094 0.713 0.899
0.594 0.909 0.750
0.786 0.406 0.600
0.389 0.350 0.890
```

Summary:
Crystal system: triclinic
Final energy (eV/atom): -3.338
Formation energy (no corrections) (meV/atom): -1463



[2]
Here is Cd2AgF after structural relaxation from Alexandria. Energies are from PBE.

POSCAR file:
```
Cd2AgF
1.0
0.498 -4.608 0.997
-3.276 -3.106 -1.449
1.018 -3.078 -3.460
F Ag Cd
1 1 2
direct
0.000 0.000 0.000
0.500 0.500 0.500
0.250 0.250 0.250
0.750 0.750 0.750
```

Summary:
Crystal system: cubic
Final energy (eV/atom): -2.140
Offset from the most stable computed form (meV per atom): 213
Formation energy (no corrections) (meV/atom): -502



[3]
Here is CdAg2F6 after structural relaxation from Alexandria. Energies are from PBE.

POSCAR file:
```
CdAg2F6
1.0
4.133 0.000 0.000
2.067 5.829 -0.185
2.067 2.231 6.131
Cd Ag F
1 2 6
direct
0.000 0.500 0.500
0.185 0.760 0.870
0.815 0.240 0.130
0.701 0.734 0.864
0.299 0.266 0.136
0.013 0.784 0.191
0.371 0.681 0.576
0.987 0.216 0.809
0.629 0.319 0.424
```

Summary:
Crystal system: monoclinic
Final energy (eV/atom): -3.442
Offset from the most stable computed form (meV per atom): 0
Formation energy (no corrections) (meV/atom): -1460



[4]
Here is CdAgF after structural relaxation from Alexandria. Energies are from PBE.

POSCAR file:
```
CdAgF
1.0
3.212 0.000 0.000
-1.606 2.847 0.000
0.000 0.000 11.819
Cd Ag F
2 2 2
direct
0.507 0.015 0.000
0.381 0.761 0.500
0.710 0.421 0.314
0.710 0.421 0.686
0.179 0.358 0.881
0.179 0.358 0.119
```

Summary:
Crystal system: orthorhombic
Final energy (eV/atom): -2.743
Formation energy (no corrections) (meV/atom): -864



[5]
Here is CdAg2F after structural relaxation from Alexandria. Energies are from PBE.

POSCAR file:
```
CdAg2F
1.0
0.000 3.288 3.288
3.288 0.000 3.288
3.288 3.288 0.000
F Ag Cd
1 2 1
direct
0.000 0.000 0.000
0.250 0.250 0.250
0.750 0.750 0.750
0.500 0.500 0.500
```

Summary:
Crystal system: cubic
Final energy (eV/atom): -2.472
Offset from the most stable computed form (meV per atom): 131
Formation energy (no corrections) (meV/atom): -350



[6]
Here is CdAg2F5 after structural relaxation from Alexandria. Energies are from PBE.

POSCAR file:
```
CdAg2F5
1.0
5.726 0.000 0.000
0.000 7.480 -2.737
0.000 0.447 11.695
Cd Ag F
4 8 20
direct
0.500 0.000 0.500
0.000 0.000 0.000
0.500 0.500 0.500
0.000 0.500 0.000
0.512 0.162 0.863
0.988 0.162 0.363
0.058 0.328 0.689
0.442 0.328 0.189
0.558 0.672 0.811
0.942 0.672 0.311
0.012 0.838 0.637
0.488 0.838 0.137
0.340 0.039 0.685
0.822 0.177 0.545
0.160 0.039 0.185
0.796 0.365 0.834
0.307 0.257 0.525
0.678 0.177 0.045
0.278 0.431 0.849
0.704 0.365 0.334
0.193 0.257 0.025
0.778 0.569 0.651
0.222 0.431 0.349
0.807 0.743 0.975
0.296 0.635 0.666
0.722 0.569 0.151
0.322 0.823 0.955
0.693 0.743 0.475
0.204 0.635 0.166
0.840 0.961 0.815
0.178 0.823 0.455
0.660 0.961 0.315
```

Summary:
Crystal system: monoclinic
Final energy (eV/atom): -3.467
Formation energy (no corrections) (meV/atom): -1470



[7]
Here is Cd4AgF8 after structural relaxation from Alexandria. Energies are from PBE.

POSCAR file:
```
Cd4AgF8
1.0
-0.116 -1.643 6.867
-0.115 -6.769 2.009
5.688 -2.879 3.039
Cd Ag F
4 1 8
direct
0.878 0.374 0.374
0.374 0.878 0.374
0.374 0.374 0.878
0.374 0.374 0.374
0.750 0.750 0.750
0.564 0.145 0.145
0.145 0.564 0.145
0.145 0.145 0.564
0.145 0.145 0.145
0.177 0.608 0.608
0.608 0.177 0.608
0.608 0.608 0.177
0.608 0.608 0.608
```

Summary:
Crystal system: cubic
Final energy (eV/atom): -3.500
Formation energy (no corrections) (meV/atom): -1847



[8]
Here is CdAg2F6 after structural relaxation from Alexandria. Energies are from PBE.

POSCAR file:
```
CdAg2F6
1.0
-1.668 -3.738 -0.650
4.421 -2.458 2.792
-1.367 1.807 6.331
Cd Ag F
1 2 6
direct
0.000 0.500 0.000
0.302 0.248 0.605
0.698 0.752 0.395
0.141 0.221 0.283
0.196 0.719 0.392
0.804 0.281 0.608
0.457 0.315 0.913
0.543 0.685 0.087
0.859 0.779 0.717
```

Summary:
Crystal system: monoclinic
Final energy (eV/atom): -3.421
Offset from the most stable computed form (meV per atom): 22
Formation energy (no corrections) (meV/atom): -1438



[9]
Here is Cd2AgF after structural relaxation from Alexandria. Energies are from PBE.

POSCAR file:
```
Cd2AgF
1.0
7.101 0.000 0.000
0.000 7.101 0.000
3.550 3.550 3.058
F Ag Cd
2 2 4
direct
0.500 0.500 0.000
0.250 0.750 0.500
0.000 0.000 0.000
0.750 0.250 0.500
0.582 0.125 0.250
0.168 0.625 0.250
0.375 0.418 0.750
0.875 0.832 0.750
```

Summary:
Crystal system: tetragonal
Final energy (eV/atom): -2.265
Offset from the most stable computed form (meV per atom): 88
Formation energy (no corrections) (meV/atom): -627



[10]
Here is CdAg4F6 after structural relaxation from Alexandria. Energies are from PBE.

POSCAR file:
```
CdAg4F6
1.0
-2.110 3.079 5.615
-6.287 -2.120 -1.200
1.335 -6.152 3.875
Cd Ag F
2 8 12
direct
0.500 0.500 0.000
0.000 0.000 0.500
0.348 0.152 0.250
0.152 0.652 0.750
0.652 0.848 0.750
0.848 0.348 0.750
0.348 0.152 0.750
0.152 0.652 0.250
0.848 0.348 0.250
0.652 0.848 0.250
0.318 0.885 0.500
0.818 0.615 0.000
0.615 0.182 0.000
0.115 0.318 0.500
0.000 0.000 0.203
0.500 0.500 0.297
0.385 0.818 0.000
0.000 0.000 0.797
0.182 0.385 0.000
0.500 0.500 0.703
0.885 0.682 0.500
0.682 0.115 0.500
```

Summary:
Crystal system: tetragonal
Final energy (eV/atom): -3.341
Formation energy (no corrections) (meV/atom): -1201



[11]
Here is Cd2AgF4 after structural relaxation from Alexandria. Energies are from PBE.

POSCAR file:
```
Cd2AgF4
1.0
4.645 0.000 0.000
0.000 4.645 0.000
2.322 2.322 5.890
F Ag Cd
4 1 2
direct
0.794 0.794 0.413
0.206 0.206 0.587
0.000 0.500 0.000
0.500 0.000 0.000
0.000 0.000 0.000
0.617 0.617 0.765
0.383 0.383 0.235
```

Summary:
Crystal system: tetragonal
Final energy (eV/atom): -3.142
Offset from the most stable computed form (meV per atom): 220
Formation energy (no corrections) (meV/atom): -1404



[12]
Here is CdAg2F after structural relaxation from Alexandria. Energies are from PBE.

POSCAR file:
```
CdAg2F
1.0
-6.647 2.239 -1.763
-2.463 -6.764 0.697
-5.103 -1.788 2.133
F Ag Cd
2 4 2
direct
0.500 0.500 0.000
0.250 0.750 0.500
0.583 0.125 0.250
0.167 0.625 0.250
0.375 0.417 0.750
0.875 0.833 0.750
0.000 0.000 0.000
0.750 0.250 0.500
```

Summary:
Crystal system: tetragonal
Final energy (eV/atom): -2.603
Offset from the most stable computed form (meV per atom): 0
Formation energy (no corrections) (meV/atom): -481



Values of volume, in order: 15.990; 18.843; 16.602; 18.013; 17.773; 15.873; 19.156; 16.693; 19.271; 15.273; 18.154; 18.063, all in A^3/atom.